No. 1
## Li2TaPt (PBE)

Data for a relaxed Li2TaPt crystal.

Results
E above lowest polymorph, meV per atom: 0.0
E_form, eV/atom: -0.2595
M_tot, μB/cell: 0.000
Final energy, eV per atom: -5.690

Cell and atoms, written as CIF:
```
data_Li2TaPt
_cell_length_a 4.367
_cell_length_b 4.367
_cell_length_c 4.367
_cell_angle_alpha 120.03
_cell_angle_beta 120.00
_cell_angle_gamma 89.98
_symmetry_space_group_name_H-M 'P 1'
_symmetry_Int_Tables_number 1
loop_
_symmetry_equiv_pos_as_xyz
'x,y,z'
loop_
_atom_site_label
_atom_site_type_symbol
_atom_site_fract_x
_atom_site_fract_y
_atom_site_fract_z
_atom_site_occupancy
Li1 Li 0.000 0.000 0.000 1
Pt1 Pt 0.500 0.500 0.000 1
Ta1 Ta 0.250 0.750 0.500 1
Li2 Li 0.750 0.250 0.500 1
```


No. 2
## TmPuSi3 (PBE)

Data for a relaxed TmPuSi3 crystal.

Results
Energy relative to the elements, uncorrected, eV/f.u.: -2.96
M_tot, μB/cell: 10.594
Final energy, eV per atom: -7.607

Cell and atoms, written as CIF:
```
data_TmPuSi3
_cell_length_a 3.921
_cell_length_b 4.080
_cell_length_c 12.383
_cell_angle_alpha 99.48
_cell_angle_beta 90.00
_cell_angle_gamma 90.00
_symmetry_space_group_name_H-M 'P 1'
_symmetry_Int_Tables_number 1
loop_
_symmetry_equiv_pos_as_xyz
'x,y,z'
loop_
_atom_site_label
_atom_site_type_symbol
_atom_site_fract_x
_atom_site_fract_y
_atom_site_fract_z
_atom_site_occupancy
Si1 Si 0.750 0.323 0.646 1
Si2 Si 0.250 0.475 0.951 1
Tm1 Tm 0.750 0.204 0.407 1
Si3 Si 0.750 0.619 0.239 1
Tm2 Tm 0.250 0.796 0.593 1
Si4 Si 0.250 0.381 0.761 1
Si5 Si 0.750 0.525 0.049 1
Pu1 Pu 0.750 0.928 0.857 1
Si6 Si 0.250 0.677 0.354 1
Pu2 Pu 0.250 0.072 0.143 1
```


No. 3
## SrTa6O12 (PBE)

Data for a relaxed SrTa6O12 crystal.

Results
Energy relative to the elements, uncorrected, eV/f.u.: -41.16
M_tot, μB/cell: 0.000
Final energy, eV per atom: -9.129

Cell and atoms, written as CIF:
```
data_SrTa6O12
_cell_length_a 6.349
_cell_length_b 6.349
_cell_length_c 6.349
_cell_angle_alpha 104.64
_cell_angle_beta 104.64
_cell_angle_gamma 104.64
_symmetry_space_group_name_H-M 'P 1'
_symmetry_Int_Tables_number 1
loop_
_symmetry_equiv_pos_as_xyz
'x,y,z'
loop_
_atom_site_label
_atom_site_type_symbol
_atom_site_fract_x
_atom_site_fract_y
_atom_site_fract_z
_atom_site_occupancy
Ta1 Ta 0.230 0.618 0.230 1
Sr1 Sr 0.000 0.000 0.000 1
Ta2 Ta 0.618 0.230 0.230 1
Ta3 Ta 0.770 0.382 0.770 1
Ta4 Ta 0.230 0.230 0.618 1
Ta5 Ta 0.770 0.770 0.382 1
O1 O 0.132 0.868 0.500 1
O2 O 0.528 0.810 0.528 1
O3 O 0.500 0.868 0.132 1
O4 O 0.132 0.500 0.868 1
O5 O 0.868 0.500 0.132 1
O6 O 0.190 0.472 0.472 1
O7 O 0.500 0.132 0.868 1
O8 O 0.472 0.472 0.190 1
O9 O 0.868 0.132 0.500 1
Ta6 Ta 0.382 0.770 0.770 1
O10 O 0.528 0.528 0.810 1
O11 O 0.472 0.190 0.472 1
O12 O 0.810 0.528 0.528 1
```


No. 4
## KTe2Ru (PBE)

Data for a relaxed KTe2Ru crystal.

Results
Energy relative to the elements, uncorrected, eV/f.u.: 2.93
E above lowest polymorph, meV per atom: 1101.9
M_tot, μB/cell: 0.951
Final energy, eV per atom: -3.432

Cell and atoms, written as CIF:
```
data_KTe2Ru
_cell_length_a 5.234
_cell_length_b 5.234
_cell_length_c 5.234
_cell_angle_alpha 60.00
_cell_angle_beta 60.00
_cell_angle_gamma 60.00
_symmetry_space_group_name_H-M 'P 1'
_symmetry_Int_Tables_number 1
loop_
_symmetry_equiv_pos_as_xyz
'x,y,z'
loop_
_atom_site_label
_atom_site_type_symbol
_atom_site_fract_x
_atom_site_fract_y
_atom_site_fract_z
_atom_site_occupancy
K1 K 0.500 0.500 0.500 1
Ru1 Ru 0.750 0.750 0.750 1
Te1 Te 0.250 0.250 0.250 1
Te2 Te 0.000 0.000 0.000 1
```


No. 5
## CuSbTe2Pb (PBE)

Data for a relaxed CuSbTe2Pb crystal.

Results
Energy relative to the elements, uncorrected, eV/f.u.: 5.38
E above lowest polymorph, meV per atom: 862.4
M_tot, μB/cell: 0.952
Final energy, eV per atom: -2.565

Cell and atoms, written as CIF:
```
data_CuSbTe2Pb
_cell_length_a 5.861
_cell_length_b 5.838
_cell_length_c 5.861
_cell_angle_alpha 90.00
_cell_angle_beta 90.00
_cell_angle_gamma 90.00
_symmetry_space_group_name_H-M 'P 1'
_symmetry_Int_Tables_number 1
loop_
_symmetry_equiv_pos_as_xyz
'x,y,z'
loop_
_atom_site_label
_atom_site_type_symbol
_atom_site_fract_x
_atom_site_fract_y
_atom_site_fract_z
_atom_site_occupancy
Pb1 Pb 0.000 0.000 0.000 1
Cu1 Cu 0.500 0.500 0.500 1
Te1 Te 0.500 0.000 0.000 1
Te2 Te 0.000 0.000 0.500 1
Sb1 Sb 0.000 0.500 0.000 1
```


No. 6
## AcPuHgAu (PBE)

Data for a relaxed AcPuHgAu crystal.

Results
E_form, eV/atom: -0.3847
M_tot, μB/cell: 5.889
Final energy, eV per atom: -5.890

Cell and atoms, written as CIF:
```
data_AcPuHgAu
_cell_length_a 5.451
_cell_length_b 5.451
_cell_length_c 5.451
_cell_angle_alpha 60.00
_cell_angle_beta 60.00
_cell_angle_gamma 60.00
_symmetry_space_group_name_H-M 'P 1'
_symmetry_Int_Tables_number 1
loop_
_symmetry_equiv_pos_as_xyz
'x,y,z'
loop_
_atom_site_label
_atom_site_type_symbol
_atom_site_fract_x
_atom_site_fract_y
_atom_site_fract_z
_atom_site_occupancy
Pu1 Pu 0.750 0.750 0.750 1
Hg1 Hg 0.500 0.500 0.500 1
Ac1 Ac 0.250 0.250 0.250 1
Au1 Au 0.000 0.000 0.000 1
```


No. 7
## Pr12DyTm3 (PBE)

Data for a relaxed Pr12DyTm3 crystal.

Results
E_form, eV/atom: 0.0120
M_tot, μB/cell: 0.000
Final energy, eV per atom: -4.699

Cell and atoms, written as CIF:
```
data_Pr12DyTm3
_cell_length_a 5.176
_cell_length_b 5.176
_cell_length_c 20.661
_cell_angle_alpha 90.00
_cell_angle_beta 90.00
_cell_angle_gamma 90.00
_symmetry_space_group_name_H-M 'P 1'
_symmetry_Int_Tables_number 1
loop_
_symmetry_equiv_pos_as_xyz
'x,y,z'
loop_
_atom_site_label
_atom_site_type_symbol
_atom_site_fract_x
_atom_site_fract_y
_atom_site_fract_z
_atom_site_occupancy
Pr1 Pr 0.500 0.500 0.251 1
Tm1 Tm 0.000 0.000 0.750 1
Pr2 Pr 0.500 0.000 0.126 1
Pr3 Pr 0.000 0.500 0.126 1
Pr4 Pr 0.500 0.000 0.375 1
Dy1 Dy 0.000 0.000 0.000 1
Pr5 Pr 0.000 0.500 0.625 1
Pr6 Pr 0.500 0.000 0.625 1
Pr7 Pr 0.500 0.500 0.749 1
Pr8 Pr 0.500 0.000 0.874 1
Tm2 Tm 0.000 0.000 0.500 1
Pr9 Pr 0.500 0.500 0.500 1
Pr10 Pr 0.500 0.500 0.000 1
Tm3 Tm 0.000 0.000 0.250 1
Pr11 Pr 0.000 0.500 0.375 1
Pr12 Pr 0.000 0.500 0.874 1
```


No. 8
## CdTcAsRh2 (PBE)

Data for a relaxed CdTcAsRh2 crystal.

Results
E_form, eV/atom: 0.9309
M_tot, μB/cell: 4.017
Final energy, eV per atom: -5.196

Cell and atoms, written as CIF:
```
data_CdTcAsRh2
_cell_length_a 4.526
_cell_length_b 4.982
_cell_length_c 4.526
_cell_angle_alpha 90.00
_cell_angle_beta 90.00
_cell_angle_gamma 90.00
_symmetry_space_group_name_H-M 'P 1'
_symmetry_Int_Tables_number 1
loop_
_symmetry_equiv_pos_as_xyz
'x,y,z'
loop_
_atom_site_label
_atom_site_type_symbol
_atom_site_fract_x
_atom_site_fract_y
_atom_site_fract_z
_atom_site_occupancy
Rh1 Rh 0.000 0.000 0.500 1
Rh2 Rh 0.500 0.000 0.000 1
Tc1 Tc 0.500 0.500 0.500 1
Cd1 Cd 0.000 0.500 0.000 1
As1 As 0.000 0.000 0.000 1
```